(1)
This record from Alexandria via LeMat-Bulk describes a relaxed structure of PrTaS4. The functional is PBE.

The calculation puts the uncorrected formation energy at -7.11 eV/f.u. The energy relative to the lowest polymorph listed for this composition comes out at 15.97 kJ/mol of atoms. The crystal system is monoclinic.

The space group is P2_1/c (No. 14) and the conventional cell measures 6.630, 6.502 and 6.647 Å, with angles of 90.00, 100.58 and 90.00 degrees. The distinct sites, in fractional coordinates, are Pr at (0.000, 0.000, 0.000), Ta at (0.500, 0.000, 0.500), S at (0.171, 0.142, 0.396) and S at (0.362, 0.696, 0.272).

***

(2)
This record from Alexandria via LeMat-Bulk describes a relaxed structure of PrTaS4. The functional is PBE.

The calculation puts the uncorrected formation energy at -8.10 eV/f.u. The energy relative to the lowest polymorph listed for this composition comes out at 0.00 kJ/mol of atoms. The crystal system is tetragonal.

The space group is I4_1/amd (No. 141, origin choice 2) and the conventional cell measures 9.374, 9.374 and 7.710 Å, with angles of 90.00, 90.00 and 90.00 degrees. The distinct sites, in fractional coordinates, are Pr at (0.000, 0.250, 0.375), Ta at (0.000, 0.250, 0.875) and S at (0.000, 0.062, 0.689).

***

(3)
This record from Alexandria via LeMat-Bulk describes a relaxed structure of Pr5Ta2S12. The functional is PBE.

The calculation puts the uncorrected formation energy at -31.82 eV/f.u. The crystal system is monoclinic.

The space group is C2/m (No. 12) and the conventional cell measures 15.624, 7.124 and 9.094 Å, with angles of 90.00, 107.30 and 90.00 degrees. The distinct sites, in fractional coordinates, are Pr at (0.000, 0.000, 0.000), Pr at (0.187, 0.500, 0.332), Pr at (0.201, 0.500, 0.856), Ta at (0.000, 0.242, 0.500), S at (0.001, 0.000, 0.312), S at (0.003, 0.500, 0.695), S at (0.150, 0.252, 0.071) and S at (0.164, 0.254, 0.582).

***

(4)
This record from Alexandria via LeMat-Bulk describes a relaxed structure of Pr3TaTl3S8. The functional is PBE.

The calculation puts the uncorrected formation energy at -19.47 eV/f.u. The crystal system is trigonal.

The space group is R-3m (No. 166, hexagonal axes) and the conventional cell measures 8.0696, 8.0696 and 22.9587 Å, with angles of 90.00, 90.00 and 120.00 degrees. The distinct sites, in fractional coordinates, are Pr at (0.0000, 0.5000, 0.0000), Ta at (0.0000, 0.0000, 0.0000), Tl at (0.0000, 0.5000, 0.5000), S at (0.0000, 0.0000, 0.2626) and S at (0.0403, 0.5202, 0.7305).